The following is a PBE-GGA calculation of crystalline CeErHgPt at its relaxed geometry, from the Alexandria database.

Summary:
ΔH_f (0 K) ... -0.690 eV/atom
Crystal system ... cubic

Lattice parameters (Å, degrees): 5.1427 5.1427 5.1427 60.00 60.00 60.00
Fractional coordinates of all 4 atoms:
Hg 0.2500 0.2500 0.2500
Pt 0.7500 0.7500 0.7500
Er 0.0000 0.0000 0.0000
Ce 0.5000 0.5000 0.5000


The following is a PBE-GGA calculation of crystalline CaThTe2 at its relaxed geometry, from the Alexandria database.

Summary:
Formation energy (no corrections) ... -1.22 eV/atom
E above lowest polymorph ... 22 kJ/mol of formula units
Crystal system ... tetragonal

Lattice parameters (Å, degrees): 3.8938 3.8938 7.7184 90.00 90.00 90.00
Fractional coordinates of all 4 atoms:
Te 0.0000 0.0000 0.2398
Te 0.0000 0.0000 0.7602
Th 0.5000 0.5000 0.0000
Ca 0.5000 0.5000 0.5000


The following is a PBE-GGA calculation of crystalline TcRu2Se at its relaxed geometry, from the Alexandria database.

Summary:
Formation energy (no corrections) ... 0.57 eV/atom
Crystal system ... orthorhombic

Lattice parameters (Å, degrees): 2.7518 2.7518 9.0209 90.00 90.00 116.74
Fractional coordinates of all 4 atoms:
Tc 0.5000 0.5000 0.7500
Ru 0.0000 0.0000 0.5067
Ru 0.0000 0.0000 0.9933
Se 0.5000 0.5000 0.2500


The following is a PBE-GGA calculation of crystalline TbPrY2Sc2 at its relaxed geometry, from the Alexandria database.

Summary:
ΔH_f (0 K) ... 0.078 eV/atom
Crystal system ... orthorhombic

Lattice parameters (Å, degrees): 5.5305 9.6141 6.7955 90.00 90.00 90.00
Fractional coordinates of all 12 atoms:
Tb 0.5000 0.5000 0.0000
Tb 0.0000 0.0000 0.5000
Pr 0.0000 0.0000 0.0000
Pr 0.5000 0.5000 0.5000
Sc 0.0000 0.6668 0.2504
Sc 0.5000 0.8332 0.7504
Sc 0.5000 0.1668 0.2496
Sc 0.0000 0.3332 0.7496
Y 0.5000 0.8334 0.2524
Y 0.5000 0.1666 0.7476
Y 0.0000 0.6666 0.7524
Y 0.0000 0.3334 0.2476


Short version: energy = -4.90 -5.14 -7.53 -5.76 eV/atom, in the order given.